1.
# CoHSBr PBE relaxed
data_CoHSBr
_cell_length_a 3.4378
_cell_length_b 3.5468
_cell_length_c 6.4583
_cell_angle_alpha 82.09
_cell_angle_beta 74.88
_cell_angle_gamma 65.74
_symmetry_space_group_name_H-M 'P 1'
_symmetry_Int_Tables_number 1
loop_
_symmetry_equiv_pos_as_xyz
'x,y,z'
loop_
_atom_site_label
_atom_site_fract_x
_atom_site_fract_y
_atom_site_fract_z
Co1 0.0000 0.0000 0.0000
H1 0.1439 0.6646 0.8017
S1 0.5904 0.6644 0.1011
Br1 0.2109 0.2878 0.6407
# VASP energy, eV per atom: -4.04

2.
# PmTmPd2 PBE relaxed
data_PmTmPd2
_cell_length_a 4.5738
_cell_length_b 3.7736
_cell_length_c 10.6143
_cell_angle_alpha 90.00
_cell_angle_beta 90.00
_cell_angle_gamma 90.00
_symmetry_space_group_name_H-M 'A m m 2'
_symmetry_Int_Tables_number 38
loop_
_symmetry_equiv_pos_as_xyz
'x,y,z'
'-x,-y,z'
'-x,y,z'
'x,-y,z'
'x,y+1/2,z+1/2'
'-x,-y+1/2,z+1/2'
'-x,y+1/2,z+1/2'
'x,-y+1/2,z+1/2'
loop_
_atom_site_label
_atom_site_fract_x
_atom_site_fract_y
_atom_site_fract_z
Pm1 0.0000 0.0000 0.0000
Tm1 0.5000 0.0000 0.7255
Pd1 0.0000 0.0000 0.2737
Pd2 0.5000 0.0000 0.4456
# Calculated formation energy, meV per atom: -882.9